[1]
Material: Ac3Tl2Pd6Pb
Method: DFT, PBE
State: relaxed

The structure in CIF format:
```
data_Ac3Tl2Pd6Pb
_cell_length_a 6.101
_cell_length_b 6.101
_cell_length_c 9.042
_cell_angle_alpha 90.00
_cell_angle_beta 90.00
_cell_angle_gamma 120.00
_space_group_name_H-M_alt 'P 1'
_space_group_IT_number 1
_space_group_name_Hall 'P 1'
loop_
_atom_site_label
_atom_site_type_symbol
_atom_site_fract_x
_atom_site_fract_y
_atom_site_fract_z
_atom_site_occupancy
Ac1 Ac 0.000 0.000 0.000 1
Ac2 Ac 0.667 0.333 0.384 1
Ac3 Ac 0.333 0.667 0.616 1
Pd1 Pd 0.641 0.821 0.273 1
Pd2 Pd 0.179 0.821 0.273 1
Pd3 Pd 0.821 0.179 0.727 1
Pd4 Pd 0.821 0.641 0.727 1
Pd5 Pd 0.179 0.359 0.273 1
Pd6 Pd 0.359 0.179 0.727 1
Tl1 Tl 0.667 0.333 0.999 1
Tl2 Tl 0.333 0.667 0.001 1
Pb1 Pb 0.000 0.000 0.500 1
```

Output
The crystal system is trigonal. The density of states at the Fermi level comes out at 3.23 states/eV/f.u. The calculation puts the volume at 291.4 Å³/cell. The spin magnetization is 0.0 μB per cell. For the raw total energy, the calculation gives -0.181 hartree per atom.

=====

[2]
Material: Dy6NiBi
Method: DFT, PBE
State: relaxed

The structure in CIF format:
```
data_Dy6NiBi
_cell_length_a 6.768
_cell_length_b 6.772
_cell_length_c 7.625
_cell_angle_alpha 63.66
_cell_angle_beta 63.69
_cell_angle_gamma 60.02
_space_group_name_H-M_alt 'P 1'
_space_group_IT_number 1
_space_group_name_Hall 'P 1'
loop_
_atom_site_label
_atom_site_type_symbol
_atom_site_fract_x
_atom_site_fract_y
_atom_site_fract_z
_atom_site_occupancy
Dy1 Dy 0.034 0.415 0.771 1
Dy2 Dy 0.415 0.779 0.771 1
Dy3 Dy 0.966 0.585 0.229 1
Dy4 Dy 0.585 0.221 0.229 1
Dy5 Dy 0.221 0.966 0.229 1
Dy6 Dy 0.779 0.034 0.771 1
Bi1 Bi 0.500 0.500 0.500 1
Ni1 Ni 0.000 0.000 0.000 1
```

Output
The crystal system is trigonal. The density of states at the Fermi level comes out at 12.04 states/eV/f.u. The calculation puts the volume at 260.0 Å³/cell. The spin magnetization is 0.0 μB per cell. For the raw total energy, the calculation gives -0.175 hartree per atom.

=====

[3]
Material: DySc7Ag2
Method: DFT, PBE
State: relaxed

The structure in CIF format:
```
data_DySc7Ag2
_cell_length_a 4.999
_cell_length_b 8.186
_cell_length_c 8.186
_cell_angle_alpha 119.63
_cell_angle_beta 90.00
_cell_angle_gamma 90.00
_space_group_name_H-M_alt 'P 1'
_space_group_IT_number 1
_space_group_name_Hall 'P 1'
loop_
_atom_site_label
_atom_site_type_symbol
_atom_site_fract_x
_atom_site_fract_y
_atom_site_fract_z
_atom_site_occupancy
Sc1 Sc 0.500 0.060 0.304 1
Sc2 Sc 0.500 0.304 0.060 1
Sc3 Sc 0.500 0.500 0.500 1
Sc4 Sc 0.500 0.696 0.940 1
Sc5 Sc 0.000 0.242 0.758 1
Sc6 Sc 0.000 0.758 0.242 1
Sc7 Sc 0.500 0.940 0.696 1
Ag1 Ag 0.500 0.305 0.695 1
Ag2 Ag 0.500 0.695 0.305 1
Dy1 Dy 0.000 0.000 0.000 1
```

Output
The crystal system is orthorhombic. The density of states at the Fermi level comes out at 20.74 states/eV/f.u. The calculation puts the volume at 291.2 Å³/cell. The spin magnetization is 2.5 μB per cell. For the raw total energy, the calculation gives -0.187 hartree per atom.

=====

[4]
Material: Ce2NpPb
Method: DFT, PBE
State: relaxed

The structure in CIF format:
```
data_Ce2NpPb
_cell_length_a 3.657
_cell_length_b 3.657
_cell_length_c 9.860
_cell_angle_alpha 79.31
_cell_angle_beta 79.31
_cell_angle_gamma 60.00
_space_group_name_H-M_alt 'P 1'
_space_group_IT_number 1
_space_group_name_Hall 'P 1'
loop_
_atom_site_label
_atom_site_type_symbol
_atom_site_fract_x
_atom_site_fract_y
_atom_site_fract_z
_atom_site_occupancy
Ce1 Ce 0.887 0.887 0.338 1
Ce2 Ce 0.113 0.113 0.662 1
Np1 Np 0.500 0.500 0.500 1
Pb1 Pb 0.000 0.000 0.000 1
```

Output
The crystal system is trigonal. The density of states at the Fermi level comes out at 6.05 states/eV/f.u. The calculation puts the volume at 111.5 Å³/cell. The spin magnetization is 0.0 μB per cell. For the raw total energy, the calculation gives -0.251 hartree per atom.